Entry 1:
VASP calculation (PBE) on a relaxed structure of LuCr6.

```
7
Lattice="-4.112 -3.462 0.208 2.586 -0.568 -4.683 3.392 -0.999 4.054" Properties=species:S:1:pos:R:3 pbc="T T T"
Cr 0.731 -2.406 -2.394
Cr -0.742 -3.237 1.013
Cr -0.943 -3.130 -1.171
Cr 2.607 -1.790 -1.433
Cr 2.809 -1.898 0.751
Cr 1.134 -2.622 1.974
Lu 0.000 0.000 0.000
```

D(E_F) ... 1.6721 states/eV per atom
ΔE_f ... 1.2724 eV/atom
Electronic total energy ... -0.560 Ry per atom
Magnetic moment ... 0.000 μB/cell


Entry 2:
VASP calculation (PBE) on a relaxed structure of Ho4GaTe2S.

```
8
Lattice="4.111 0.000 0.000 0.000 7.195 0.133 0.000 -2.509 7.009" Properties=species:S:1:pos:R:3 pbc="T T T"
Te 0.000 2.343 3.571
Te 2.055 -1.255 3.504
Ho 2.055 1.188 1.530
Ho 0.000 4.762 1.652
Ho 2.055 3.498 5.612
Ho 0.000 -0.076 5.489
Ga 2.055 3.598 0.067
S 0.000 0.000 0.000
```

Formation energy from raw total energies ... -1.305 eV/atom
D(E_F) ... 0.3618 states/eV per atom
Electronic total energy ... -0.388 Ry per atom
Magnetic moment ... 0.000 μB/cell


Entry 3:
VASP calculation (PBE) on a relaxed structure of Zr3TcSn.

```
5
Lattice="-2.787 3.944 -1.346 0.872 -1.031 -4.828 -4.075 -2.918 -0.113" Properties=species:S:1:pos:R:3 pbc="T T T"
Sn -2.995 -0.002 -3.144
Tc 0.000 0.000 0.000
Zr -2.038 -1.459 -0.056
Zr -1.393 1.972 -0.673
Zr 0.436 -0.516 -2.414
```

D(E_F) ... 1.7746 states/eV per atom
ΔE to the lowest computed polymorph ... 0.0 meV per atom
ΔE_f ... 0.2448 eV/atom
Electronic total energy ... -0.570 Ry per atom
Magnetic moment ... 0.000 μB/cell


Entry 4:
VASP calculation (PBE) on a relaxed structure of V4RhS8.

```
13
Lattice="-4.292 1.770 -4.678 -1.279 -5.289 3.719 0.143 4.907 4.283" Properties=species:S:1:pos:R:3 pbc="T T T"
S -1.840 1.879 3.796
S -1.580 -1.243 2.082
S -1.015 1.501 0.389
S -3.063 2.301 -2.113
S -3.849 2.631 1.241
S -3.588 -0.491 -0.473
S -4.413 -0.113 2.934
S -2.366 -0.913 5.436
V -3.440 5.047 1.465
V -1.117 -0.705 -0.192
V -1.989 -3.659 1.858
V -4.455 -2.814 -0.767
Rh -0.568 -0.191 4.001
```

Formation energy from raw total energies ... -0.852 eV/atom
D(E_F) ... 0.5620 states/eV per atom
Electronic total energy ... -0.497 Ry per atom
Magnetic moment ... 0.849 μB/cell


Entry 5:
VASP calculation (PBE) on a relaxed structure of SrMgMnRe2.

```
5
Lattice="4.819 0.000 0.000 0.000 4.592 0.000 0.000 0.000 4.819" Properties=species:S:1:pos:R:3 pbc="T T T"
Mg 0.000 0.000 0.000
Re 2.410 0.000 0.000
Re 0.000 0.000 2.410
Sr 2.410 2.296 2.410
Mn 0.000 2.296 0.000
```

D(E_F) ... 1.8012 states/eV per atom
ΔE_f ... 2.1259 eV/atom
Electronic total energy ... -0.393 Ry per atom
Magnetic moment ... 3.865 μB/cell


Entry 6:
VASP calculation (PBE) on a relaxed structure of DyYErTh2.

```
10
Lattice="6.637 0.000 0.000 0.000 6.635 0.000 0.000 -3.317 7.819" Properties=species:S:1:pos:R:3 pbc="T T T"
Th 0.000 1.654 0.000
Th 0.000 4.980 0.000
Th 3.318 1.654 0.000
Th 3.318 4.980 0.000
Er 4.978 0.000 2.362
Er 1.659 3.317 5.457
Dy 1.659 0.000 3.918
Dy 4.978 3.317 3.901
Y 4.978 0.000 5.428
Y 1.659 3.317 2.391
```

D(E_F) ... 1.3964 states/eV per atom
ΔE_f ... 0.4263 eV/atom
Electronic total energy ... -0.417 Ry per atom
Magnetic moment ... 0.000 μB/cell


Entry 7:
VASP calculation (PBE) on a relaxed structure of Ti2CuPt6.

```
9
Lattice="-2.205 -1.238 -1.239 2.780 1.783 -6.730 1.852 -6.514 3.214" Properties=species:S:1:pos:R:3 pbc="T T T"
Cu -1.102 -0.619 -0.619
Ti 2.161 -3.748 -0.101
Ti 2.470 -0.982 -3.415
Pt 2.508 -6.005 -1.662
Pt 0.600 -2.357 -1.911
Pt 3.332 -0.161 -5.770
Pt 2.682 -5.982 1.205
Pt 2.849 -2.956 -5.316
Pt 3.249 -3.319 -2.466
```

D(E_F) ... 0.5441 states/eV per atom
ΔE_f ... -0.6198 eV/atom
Electronic total energy ... -0.504 Ry per atom
Magnetic moment ... 0.000 μB/cell


Entry 8:
VASP calculation (PBE) on a relaxed structure of Ce4TlSb2.

```
14
Lattice="-5.545 1.621 2.377 -3.056 -3.389 -4.815 2.594 -8.723 4.493" Properties=species:S:1:pos:R:3 pbc="T T T"
Ce -2.104 -6.738 -0.777
Ce -3.902 -3.752 2.832
Ce -5.393 -4.835 -2.225
Ce -5.591 -0.401 1.545
Ce -0.415 -10.089 0.509
Ce -2.081 -7.283 1.967
Ce -0.614 -5.656 4.279
Ce -3.925 -3.207 0.088
Sb -0.218 -8.951 4.153
Sb -5.788 -1.539 -2.098
Sb -4.906 -6.294 0.688
Sb -1.101 -4.197 1.367
Tl -3.839 -6.291 4.578
Tl -2.167 -4.199 -2.524
```

Formation energy from raw total energies ... -0.507 eV/atom
D(E_F) ... 2.7702 states/eV per atom
Electronic total energy ... -0.398 Ry per atom
Magnetic moment ... 6.360 μB/cell


Entry 9:
VASP calculation (PBE) on a relaxed structure of Tb2CdTe4.

```
7
Lattice="-4.359 0.404 -0.397 -0.417 -7.088 -2.644 1.560 0.896 8.116" Properties=species:S:1:pos:R:3 pbc="T T T"
Te -0.475 -5.340 -0.226
Te -0.755 -4.209 3.997
Te -2.461 -1.579 1.078
Te -2.741 -0.448 5.300
Tb -2.796 -4.630 1.643
Tb -0.420 -1.158 3.432
Cd 0.000 0.000 0.000
```

Formation energy from raw total energies ... -1.082 eV/atom
ΔE to the lowest computed polymorph ... 37.6 meV per atom
Electronic total energy ... -0.318 Ry per atom
Magnetic moment ... 0.000 μB/cell


Entry 10:
VASP calculation (PBE) on a relaxed structure of AlInCu2Te4.

```
8
Lattice="6.187 0.257 0.000 -0.257 6.187 0.000 -2.966 -3.223 6.172" Properties=species:S:1:pos:R:3 pbc="T T T"
Te 1.440 4.625 1.684
Te 4.490 1.819 1.684
Te -1.402 -1.524 4.488
Te 1.402 1.523 4.487
Cu 3.094 0.128 3.086
Cu -0.129 3.094 3.086
Al 2.965 3.222 0.001
In 2.965 3.222 6.170
```

Formation energy from raw total energies ... -0.303 eV/atom
D(E_F) ... 0.0233 states/eV per atom
Electronic total energy ... -0.273 Ry per atom
Magnetic moment ... 0.000 μB/cell


Entry 11:
VASP calculation (PBE) on a relaxed structure of K2Tl2PbAu.

```
12
Lattice="7.494 0.000 0.000 0.000 7.116 0.000 -3.747 -3.558 7.989" Properties=species:S:1:pos:R:3 pbc="T T T"
K 1.884 0.000 2.594
K -1.863 0.000 5.395
K 5.610 3.558 2.594
K 1.863 3.558 5.395
Pb 0.000 5.337 0.000
Pb 0.000 1.779 0.000
Tl 1.618 0.000 6.282
Tl 5.365 0.000 1.708
Tl 2.129 3.558 1.708
Tl -1.618 3.558 6.282
Au 3.747 5.337 0.000
Au 3.747 1.779 0.000
```

D(E_F) ... 0.2811 states/eV per atom
ΔE_f ... -0.1541 eV/atom
Electronic total energy ... -0.182 Ry per atom
Magnetic moment ... 0.000 μB/cell


Entry 12:
VASP calculation (PBE) on a relaxed structure of Tb2SmTm3S6.

```
12
Lattice="3.878 0.000 0.000 0.000 7.848 0.237 -1.939 -2.308 8.189" Properties=species:S:1:pos:R:3 pbc="T T T"
S 0.000 5.799 0.200
S 1.939 -0.259 8.226
S 1.939 3.853 2.843
S 0.000 1.686 5.583
S 1.939 -0.164 2.815
S 0.000 5.704 5.611
Tb 0.000 1.839 2.799
Tb 1.939 3.701 5.627
Sm 1.939 0.000 0.000
Tm 0.000 5.777 2.908
Tm 1.939 -0.238 5.518
Tm 1.939 3.924 0.118
```

Formation energy from raw total energies ... -1.975 eV/atom
D(E_F) ... 0.4203 states/eV per atom
Electronic total energy ... -0.465 Ry per atom
Magnetic moment ... 0.000 μB/cell


Entry 13:
VASP calculation (PBE) on a relaxed structure of Sr5Ca3I12.

```
80
Lattice="17.763 0.000 0.000 -5.921 16.747 0.000 -5.921 -8.374 14.504" Properties=species:S:1:pos:R:3 pbc="T T T"
Sr -1.480 4.187 3.626
Sr -5.921 4.187 7.252
Sr -4.441 9.420 5.439
Sr 4.441 12.561 3.626
Sr 10.362 -1.047 9.065
Sr 0.000 0.000 0.000
Sr 7.401 4.187 10.878
Sr 5.921 -4.187 7.252
Sr 8.882 0.000 0.000
Sr -2.961 8.374 0.000
Sr 2.961 4.187 7.252
Sr 1.480 5.234 12.691
Sr -1.480 1.047 9.065
Sr 7.401 7.327 5.439
Sr -2.961 -4.187 7.252
Sr 7.401 -5.234 12.691
Sr 4.441 3.140 1.813
Sr 1.480 -4.187 10.878
Sr -1.480 13.607 1.813
Sr 5.921 8.374 0.000
I 1.472 1.253 7.633
I 4.449 7.121 6.870
I 7.409 -1.253 7.633
I 3.651 9.895 1.871
I 5.151 2.553 9.123
I -1.472 -5.324 9.984
I 12.612 -3.383 9.602
I 7.393 13.697 4.520
I 4.528 2.333 4.999
I -5.151 5.936 14.025
I 10.274 1.309 6.773
I 2.270 2.381 14.122
I 0.770 5.820 5.380
I 12.532 9.234 2.253
I 10.449 -1.024 2.732
I 11.072 2.437 0.479
I 7.489 7.349 11.772
I 10.354 -6.576 12.153
I 8.191 7.513 2.253
I -1.568 1.024 2.732
I 1.568 10.707 9.505
I 3.730 -2.553 9.123
I 6.611 -2.381 14.122
I 9.651 14.310 0.479
I -2.270 0.860 12.251
I -0.690 10.755 0.382
I 7.314 9.683 7.731
I 2.191 10.927 5.380
I 6.611 1.521 12.632
I -6.611 -0.860 12.251
I -4.528 9.398 11.772
I 3.651 5.992 0.382
I -1.488 9.626 6.870
I 7.393 1.798 2.350
I 9.651 4.991 4.902
I 13.330 3.050 4.520
I -3.730 -5.936 14.025
I -6.691 11.757 4.902
I 4.353 -2.333 4.999
I -4.353 7.065 7.731
I -7.409 5.323 9.984
I -4.433 14.950 2.350
I 1.393 6.041 9.505
I 2.270 -1.521 12.632
I -1.472 6.576 12.153
I -0.690 6.853 1.871
I -3.730 3.383 9.602
I -1.393 -1.309 6.773
Ca -1.480 7.327 9.065
Ca 10.362 5.234 1.813
Ca -7.401 8.374 10.878
Ca -4.441 -3.140 12.691
Ca 4.441 9.420 9.065
Ca 13.322 0.000 3.626
Ca 1.480 8.374 3.626
Ca 1.480 -1.047 5.439
Ca 7.401 1.047 5.439
Ca -4.441 3.140 12.691
Ca 10.362 11.514 1.813
Ca 4.441 0.000 10.878
```

Formation energy from raw total energies ... -1.227 eV/atom
D(E_F) ... 0.4308 states/eV per atom
Electronic total energy ... -0.212 Ry per atom
Magnetic moment ... 0.001 μB/cell


Entry 14:
VASP calculation (PBE) on a relaxed structure of CaHo2ThBi4.

```
8
Lattice="4.548 0.000 0.000 0.000 7.833 0.143 0.000 -2.729 7.370" Properties=species:S:1:pos:R:3 pbc="T T T"
Th 0.000 0.000 0.000
Bi 0.000 -0.098 5.504
Bi 0.000 5.202 2.009
Bi 2.274 1.281 1.938
Bi 2.274 3.823 5.575
Ho 2.274 -1.364 3.685
Ho 0.000 2.552 3.757
Ca 2.274 3.916 0.072
```

D(E_F) ... 0.1641 states/eV per atom
ΔE_f ... -0.7802 eV/atom
Electronic total energy ... -0.371 Ry per atom
Magnetic moment ... 0.000 μB/cell


Entry 15:
VASP calculation (PBE) on a relaxed structure of Nd4AsPbS2.

```
8
Lattice="-2.921 -1.105 -2.883 -2.592 -5.126 4.592 -5.320 2.946 4.261" Properties=species:S:1:pos:R:3 pbc="T T T"
As -3.956 -1.090 4.426
Nd -6.045 0.394 2.841
Nd -4.940 -1.522 -0.677
Nd -5.893 -1.764 6.647
Nd -4.788 -3.679 3.129
Pb -2.756 -3.116 0.855
S -4.121 0.920 0.689
S -5.320 2.946 4.261
```

Formation energy from raw total energies ... -1.489 eV/atom
D(E_F) ... 0.3316 states/eV per atom
Electronic total energy ... -0.437 Ry per atom
Magnetic moment ... 0.000 μB/cell


Entry 16:
VASP calculation (PBE) on a relaxed structure of BaTm2Mg9.

```
12
Lattice="5.895 0.000 1.754 2.686 5.247 1.754 0.063 0.039 10.569" Properties=species:S:1:pos:R:3 pbc="T T T"
Mg 2.932 1.793 11.709
Mg 3.534 2.161 4.199
Mg 5.712 3.493 2.369
Mg 6.535 2.161 5.092
Mg 5.110 3.125 9.879
Mg 4.322 2.643 7.039
Mg 3.743 0.453 8.986
Mg 4.902 4.832 5.092
Mg 2.109 3.125 8.986
Ba 0.000 0.000 0.000
Tm 1.318 0.806 6.353
Tm 7.326 4.480 7.725
```

D(E_F) ... 0.8027 states/eV per atom
ΔE_f ... -0.0479 eV/atom
Electronic total energy ... -0.158 Ry per atom
Magnetic moment ... 0.000 μB/cell


Entry 17:
VASP calculation (PBE) on a relaxed structure of TbNd4Dy7.

```
12
Lattice="-2.367 -4.119 4.946 5.765 -1.535 2.755 -1.579 2.105 11.576" Properties=species:S:1:pos:R:3 pbc="T T T"
Dy -1.232 -2.453 8.534
Dy 0.693 0.626 8.576
Dy -1.184 -2.059 2.473
Dy 2.268 -1.455 2.906
Dy -0.449 -2.094 16.372
Dy 1.127 -4.175 10.702
Dy 3.052 -1.096 10.744
Tb 0.000 0.000 0.000
Nd 1.990 -2.558 7.648
Nd -0.277 -0.874 5.527
Nd -0.171 -0.991 11.630
Nd 2.096 -2.675 13.751
```

D(E_F) ... 1.5758 states/eV per atom
ΔE to the lowest computed polymorph ... 0.0 meV per atom
ΔE_f ... 0.0868 eV/atom
Electronic total energy ... -0.336 Ry per atom
Magnetic moment ... 0.000 μB/cell


Entry 18:
VASP calculation (PBE) on a relaxed structure of Cd3Pd2Au4.

```
9
Lattice="-0.230 3.877 1.361 -6.168 -1.107 2.109 4.166 -3.340 3.996" Properties=species:S:1:pos:R:3 pbc="T T T"
Au -1.754 1.410 1.909
Au -2.023 0.410 4.710
Au -0.209 -0.981 2.757
Au -0.477 -1.980 5.558
Cd 0.991 0.529 4.881
Cd 0.000 0.000 0.000
Cd -3.222 -1.099 2.585
Pd 1.185 1.486 2.190
Pd -3.416 -2.056 5.277
```

D(E_F) ... 0.3538 states/eV per atom
ΔE to the lowest computed polymorph ... 0.0 meV per atom
ΔE_f ... -0.2277 eV/atom
Electronic total energy ... -0.231 Ry per atom
Magnetic moment ... 0.000 μB/cell


Entry 19:
VASP calculation (PBE) on a relaxed structure of PmNpGeAs.

```
4
Lattice="-0.756 -4.925 -0.983 1.543 -3.518 3.321 -3.416 -2.630 2.684" Properties=species:S:1:pos:R:3 pbc="T T T"
Ge -0.657 -2.768 1.256
Pm 0.000 0.000 0.000
As -1.971 -8.304 3.767
Np -1.314 -5.536 2.512
```

D(E_F) ... 2.2712 states/eV per atom
ΔE_f ... -0.4565 eV/atom
Electronic total energy ... -0.529 Ry per atom
Magnetic moment ... 3.875 μB/cell


Entry 20:
VASP calculation (PBE) on a relaxed structure of KCa.

```
12
Lattice="-10.453 3.676 -8.331 11.959 -4.437 -5.429 -1.386 -3.807 0.059" Properties=species:S:1:pos:R:3 pbc="T T T"
K -7.213 1.415 -8.580
K -2.371 -0.264 -3.159
K -0.402 -1.091 -10.307
K 2.491 -4.304 -10.542
K 0.522 -3.477 -3.394
K 7.333 -5.983 -5.121
Ca -1.946 -2.630 -6.741
Ca 5.641 -3.255 -8.002
Ca 2.066 -1.938 -6.961
Ca -4.598 -1.708 -9.519
Ca -5.521 -1.313 -5.699
Ca 4.718 -2.860 -4.182
```

D(E_F) ... 1.2153 states/eV per atom
ΔE_f ... 0.1884 eV/atom
Electronic total energy ... -0.100 Ry per atom
Magnetic moment ... 0.000 μB/cell